The following is a DFT calculation (meta-GGA SCAN) of Tm3Sn at its PBEsol-relaxed geometry.

extended XYZ file:
```
4
Lattice="-2.262 2.262 5.024 2.262 -2.262 5.024 2.262 2.262 -5.024" Properties=species:S:1:pos:R:3 pbc="T T T"
Tm 0.000 0.000 0.000
Tm 2.262 0.000 2.512
Tm 0.000 2.262 2.512
Sn 0.000 0.000 5.024
```

Calculated total energy = -48.30 eV/atom
N(E_F) = 3.46 states/eV/f.u.
Size of the total moment = 0.000 Bohr magnetons per cell

***

The following is a DFT calculation (meta-GGA SCAN) of Li3CuI at its PBEsol-relaxed geometry.

extended XYZ file:
```
5
Lattice="4.814 0.000 0.000 0.000 4.814 0.000 0.000 0.000 4.814" Properties=species:S:1:pos:R:3 pbc="T T T"
Li 0.000 0.000 2.407
Li 0.000 2.407 0.000
Li 2.407 0.000 0.000
Cu 0.000 0.000 0.000
I 2.407 2.407 2.407
```

Formation energy (no corrections) = -0.0981 eV per atom
Calculated total energy = -11.92 eV/atom
N(E_F) = 2.44 states/eV/f.u.
Size of the total moment = 0.000 Bohr magnetons per cell